Ti2OF2: relaxed, PBE-GGA.

The electronic total energy is -6.649 eV per atom. The calculated density comes out at 4.6 g/cm3. The total magnetization comes out at 0.00 μB/f.u.

The structure belongs to space group I4/mmm (No. 139); the cell edges are 3.955, 3.955 and 6.961 Å and the angles 90.00°, 90.00° and 90.00°. The asymmetric unit holds Ti at (0.000, 0.500, 0.250), O at (0.000, 0.000, 0.000) and F at (0.000, 0.000, 0.349).